## AgPSeN2 (PBE-GGA)

Data for AgPSeN2 after structural relaxation.

```
data_AgPSeN2
_symmetry_space_group_name_H-M 'P 4/m m m'
_symmetry_Int_Tables_number 123
_symmetry_space_group_name_Hall '-P 4 2'
_cell_length_a 3.975
_cell_length_b 3.975
_cell_length_c 6.396
_cell_angle_alpha 90.00
_cell_angle_beta 90.00
_cell_angle_gamma 90.00
loop_
_atom_site_label
_atom_site_type_symbol
_atom_site_fract_x
_atom_site_fract_y
_atom_site_fract_z
Ag1 Ag 0.000 0.000 0.000
P1 P 0.500 0.500 0.500
Se1 Se 0.000 0.000 0.500
N1 N 0.000 0.500 0.000
```

Output
uncorrected formation energy: 2007 meV/atom
polymorph energy (0 for the lowest one): 547 kJ/mol of formula units
calculated density: 4.04 g cm⁻³
electronic total energy: -18.363 eV for the cell shown